Density functional theory data (GGA-PBE) for crystalline ScAgPb4 at its relaxed geometry.

Its total energy is -3.713 eV/atom. Its total magnetization is 0.00 μB/f.u. For the calculated formation energy, the calculation gives 0.290 eV per atom. Its crystal system is cubic. Its symmetry is F-43m (216).

abc: 6.340 6.340 6.340
angles: 60.00 60.00 60.00
Atoms (fractional coordinates):
Sc 0.000 0.000 0.000
Ag 0.750 0.750 0.750
Pb 0.374 0.374 0.374
Pb 0.374 0.374 0.877
Pb 0.374 0.877 0.374
Pb 0.877 0.374 0.374